Material: CdPdC3
Method: DFT, PBE
State: relaxed

a = 4.228 Å, b = 4.228 Å, c = 4.228 Å
α = 90.00°, β = 90.00°, γ = 90.00°
Fractional coordinates of all 5 atoms:
C1 0.000 0.500 0.000
C2 0.000 0.000 0.500
C3 0.500 0.000 0.000
Pd1 0.500 0.500 0.500
Cd1 0.000 0.000 0.000

## Properties
The value obtained for the formation energy is 3386 meV per atom. The calculation puts the excess energy over the best structure of this formula in the dataset at 831 meV/atom. For the density of states at the Fermi level, the calculation gives 2.68 states/eV per cell.

Material: CdPdRh2C
Method: DFT, PBE
State: relaxed

a = 4.086 Å, b = 4.086 Å, c = 4.262 Å
α = 90.00°, β = 90.00°, γ = 90.00°
Fractional coordinates of all 5 atoms:
C1 0.000 0.000 0.000
Rh1 0.000 0.500 0.000
Rh2 0.500 0.000 0.000
Pd1 0.000 0.000 0.500
Cd1 0.500 0.500 0.500

## Properties
The value obtained for the formation energy is -44 meV per atom. For the density of states at the Fermi level, the calculation gives 1.20 states/eV per cell.

Material: CdPdCSe2
Method: DFT, PBE
State: relaxed

a = 5.177 Å, b = 5.148 Å, c = 5.177 Å
α = 90.00°, β = 90.00°, γ = 90.00°
Last column: magnetic moment on the atom in μB.
Fractional coordinates of all 5 atoms:
C1 0.500 0.500 0.500  0.81
Se1 0.000 0.000 0.500  -0.31
Se2 0.500 0.000 0.000  -0.36
Pd1 0.000 0.500 0.000  -0.16
Cd1 0.000 0.000 0.000  0.01

## Properties
As for the uncorrected formation energy: 2018 meV/atom. For the density of states at the Fermi level, the calculation gives 4.78 states/eV per cell.

Material: CdSiPd2C
Method: DFT, PBE
State: relaxed

a = 4.233 Å, b = 4.410 Å, c = 4.233 Å
α = 90.00°, β = 90.00°, γ = 90.00°
Fractional coordinates of all 5 atoms:
Si1 0.500 0.500 0.500
C1 0.000 0.000 0.000
Pd1 0.000 0.000 0.500
Pd2 0.500 0.000 0.000
Cd1 0.000 0.500 0.000

## Properties
As for the uncorrected formation energy: 605 meV/atom. For the density of states at the Fermi level, the calculation gives 1.42 states/eV per cell.

Material: ZnCd2PdC
Method: DFT, PBE
State: relaxed

a = 4.974 Å, b = 4.668 Å, c = 4.974 Å
α = 90.00°, β = 90.00°, γ = 90.00°
Last column: magnetic moment on the atom in μB.
Fractional coordinates of all 5 atoms:
Zn1 0.000 0.000 0.000  -0.03
C1 0.500 0.500 0.500  0.70
Pd1 0.000 0.500 0.000  -0.03
Cd1 0.000 0.000 0.500  -0.03
Cd2 0.500 0.000 0.000  -0.01

## Properties
The value obtained for the formation energy is 1614 meV per atom. For the density of states at the Fermi level, the calculation gives 4.27 states/eV per cell.

Material: Pm3CdC
Method: DFT, PBE
State: relaxed

a = 6.534 Å, b = 9.138 Å, c = 9.138 Å
α = 108.83°, β = 90.00°, γ = 90.00°
Fractional coordinates of all 20 atoms:
Pm1 0.250 0.357 0.642
Pm2 0.250 0.857 0.142
Pm3 0.500 0.250 0.250
Pm4 0.000 0.250 0.250
Pm5 0.500 0.750 0.750
Pm6 0.750 0.643 0.358
Pm7 0.750 0.044 0.456
Pm8 0.250 0.956 0.544
Pm9 0.750 0.143 0.858
Pm10 0.000 0.750 0.750
Pm11 0.750 0.544 0.956
Pm12 0.250 0.456 0.044
Cd1 0.250 0.585 0.415
Cd2 0.750 0.415 0.585
Cd3 0.250 0.085 0.915
Cd4 0.750 0.915 0.085
C1 0.749 0.383 0.117
C2 0.249 0.117 0.383
C3 0.251 0.617 0.883
C4 0.751 0.883 0.617

## Properties
The value obtained for the formation energy is -65 meV per atom. The calculation puts the excess energy over the best structure of this formula in the dataset at 118 meV/atom. For the density of states at the Fermi level, the calculation gives 12.49 states/eV per cell.

Material: Pm2CdC
Method: DFT, PBE
State: relaxed

a = 3.661 Å, b = 3.661 Å, c = 8.809 Å
α = 78.06°, β = 78.06°, γ = 59.95°
Fractional coordinates of all 4 atoms:
Pm1 0.721 0.721 0.834
Pm2 0.279 0.279 0.166
Cd1 0.500 0.500 0.500
C1 0.000 0.000 0.000

## Properties
The value obtained for the formation energy is -176 meV per atom. The calculation puts the excess energy over the best structure of this formula in the dataset at 14 meV/atom. For the density of states at the Fermi level, the calculation gives 4.36 states/eV per cell.

Material: Pm6Cd2C
Method: DFT, PBE
State: relaxed

a = 7.213 Å, b = 7.175 Å, c = 10.067 Å
α = 90.00°, β = 89.72°, γ = 90.00°
Fractional coordinates of all 18 atoms:
Pm1 0.928 0.000 0.257
Pm2 0.757 0.755 0.536
Pm3 0.744 0.744 0.964
Pm4 0.756 0.244 0.536
Pm5 0.743 0.255 0.964
Pm6 0.572 0.500 0.243
Pm7 0.072 0.000 0.743
Pm8 0.243 0.245 0.464
Pm9 0.256 0.256 0.036
Pm10 0.244 0.756 0.464
Pm11 0.257 0.745 0.036
Pm12 0.428 0.500 0.757
Cd1 0.995 0.500 0.747
Cd2 0.505 0.000 0.753
Cd3 0.495 0.000 0.247
Cd4 0.005 0.500 0.253
C1 0.500 0.500 0.000
C2 0.000 0.000 0.500

## Properties
The value obtained for the formation energy is -180 meV per atom. For the density of states at the Fermi level, the calculation gives 17.30 states/eV per cell.